No. 1
Density functional theory data (PBE-GGA) for a relaxed structure of Sr2GaRh.

Unit cell a=11.0569 b=11.0569 c=4.8244 alpha=90.00 beta=90.00 gamma=90.00
Last column: nearest neighbours and their distance in Å.
Space group I-42d (No. 122)
Unique sites:
Sr 0.0752 0.2500 0.1250 [8 per cell]  2 Rh 2.95
Ga 0.0000 0.0000 0.5000 [4 per cell]  2 Rh 2.41
Rh 0.0000 0.0000 0.0000 [4 per cell]  2 Ga 2.41

Crystal system   tetragonal
N(E_F)   9.6 states/eV per cell
V   590 Å³ per cell
E_form   -306.5 meV/atom

***

No. 2
Density functional theory data (PBE-GGA) for a relaxed structure of Ho2MgFeC.

Unit cell a=5.0086 b=5.0086 c=3.7143 alpha=90.00 beta=90.00 gamma=90.00
Last column: nearest neighbours and their distance in Å.
Space group P4/mmm (No. 123)
Unique sites:
Ho 0.0000 0.5000 0.0000 [2 per cell]  2 C 2.50
Mg 0.0000 0.0000 0.5000 [1 per cell]  8 Ho 3.12
Fe 0.5000 0.5000 0.5000 [1 per cell]  2 C 1.86
C 0.5000 0.5000 0.0000 [1 per cell]  2 Fe 1.86

Crystal system   tetragonal
N(E_F)   3.2 states/eV per cell
V   93 Å³ per cell
E_form   -206.4 meV/atom

***

No. 3
Density functional theory data (PBE-GGA) for a relaxed structure of ScNi2Te.

Unit cell a=13.7724 b=4.1941 c=4.8668 alpha=90.00 beta=99.34 gamma=90.00
Last column: nearest neighbours and their distance in Å.
Space group Cm (No. 8)
Unique sites:
Sc 0.0000 0.0000 0.0000 [2 per cell]  4 Ni 2.67-2.83, 3 Te 2.90-2.94
Sc 0.2349 0.5000 0.8771 [2 per cell]  6 Ni 2.57-2.71
Ni 0.1278 0.0000 0.6422 [2 per cell]  5 Ni 2.58-2.82, 2 Te 2.61, 3 Sc 2.67-2.71
Ni 0.2067 0.0000 0.1684 [2 per cell]  3 Sc 2.60-2.83, 4 Ni 2.61-2.88, 2 Te 2.64
Ni 0.3175 0.0000 0.7139 [2 per cell]  2 Ni 2.47-2.58, 2 Sc 2.57, 2 Te 2.65
Ni 0.4908 0.0000 0.6434 [2 per cell]  1 Ni 2.47, 3 Te 2.47-2.71, 2 Sc 2.71
Te 0.1113 0.5000 0.3195 [2 per cell]  5 Ni 2.47-2.64
Te 0.3746 0.5000 0.4496 [2 per cell]  4 Ni 2.65-2.71, 1 Sc 2.94

Crystal system   monoclinic
N(E_F)   7.5 states/eV per cell
Formation energy (no corrections)   -1.5 eV per formula unit
V   277 Å³ per cell